Record 1
# PBE Lu2CoN, optimized geometry
data_Lu2CoN
_chemical_formula_sum 'Lu6 Co3 N3'
_cell_length_a 3.2626
_cell_length_b 3.2626
_cell_length_c 22.9113
_cell_angle_alpha 90.00
_cell_angle_beta 90.00
_cell_angle_gamma 120.00
_space_group_name_H-M_alt 'R -3 m'
_space_group_IT_number 166
_space_group_name_Hall '-R 3 2"'
loop_
_atom_site_label
_atom_site_type_symbol
_atom_site_fract_x
_atom_site_fract_y
_atom_site_fract_z
_atom_site_occupancy
Lu1 Lu 0.0000 0.0000 0.1082 1
Co1 Co 0.0000 0.0000 0.0000 1
N1 N 0.0000 0.0000 0.5000 1
# Crystal system = trigonal
# Formation energy from raw total energies = -1.530 eV/f.u.
# Magnetization = 1.01 μB/f.u.


Record 2
# PBE Cs2HoScTe4, optimized geometry
data_Cs2HoScTe4
_chemical_formula_sum 'Cs2 Ho1 Sc1 Te4'
_cell_length_a 7.7211
_cell_length_b 4.4582
_cell_length_c 9.2405
_cell_angle_alpha 90.00
_cell_angle_beta 106.15
_cell_angle_gamma 90.00
_space_group_name_H-M_alt 'P 1 2/m 1'
_space_group_IT_number 10
_space_group_name_Hall '-P 2y'
loop_
_atom_site_label
_atom_site_type_symbol
_atom_site_fract_x
_atom_site_fract_y
_atom_site_fract_z
_atom_site_occupancy
Cs1 Cs 0.0000 0.0000 0.0000 1
Cs2 Cs 0.5000 0.5000 0.0000 1
Ho1 Ho 0.0000 0.5000 0.5000 1
Sc1 Sc 0.5000 0.0000 0.5000 1
Te1 Te 0.2381 0.0000 0.6868 1
Te2 Te 0.2816 0.5000 0.3177 1
# Crystal system = monoclinic
# Formation energy from raw total energies = -10.402 eV/f.u.
# Magnetization = 0.00 μB/f.u.


Record 3
# PBE CoRe2Au, optimized geometry
data_CoRe2Au
_chemical_formula_sum 'Co2 Re4 Au2'
_cell_length_a 3.9084
_cell_length_b 3.9084
_cell_length_c 7.5763
_cell_angle_alpha 90.00
_cell_angle_beta 90.00
_cell_angle_gamma 90.00
_space_group_name_H-M_alt 'I -4 m 2'
_space_group_IT_number 119
_space_group_name_Hall 'I -4 -2'
loop_
_atom_site_label
_atom_site_type_symbol
_atom_site_fract_x
_atom_site_fract_y
_atom_site_fract_z
_atom_site_occupancy
Co1 Co 0.0000 0.0000 0.0000 1
Re1 Re 0.0000 0.0000 0.5000 1
Re2 Re 0.0000 0.5000 0.2500 1
Au1 Au 0.0000 0.5000 0.7500 1
# Crystal system = tetragonal
# E above lowest polymorph = 114.0 meV per atom
# Magnetization = 0.84 μB/f.u.
# Formation energy from the elements = 0.351 eV per atom


Record 4
# PBE Nb4FeS8, optimized geometry
data_Nb4FeS8
_chemical_formula_sum 'Nb8 Fe2 S16'
_cell_length_a 6.6629
_cell_length_b 6.6629
_cell_length_c 11.6931
_cell_angle_alpha 90.00
_cell_angle_beta 90.00
_cell_angle_gamma 120.00
_space_group_name_H-M_alt 'P 63/m m c'
_space_group_IT_number 194
_space_group_name_Hall '-P 6c 2c'
loop_
_atom_site_label
_atom_site_type_symbol
_atom_site_fract_x
_atom_site_fract_y
_atom_site_fract_z
_atom_site_occupancy
Nb1 Nb 0.0000 0.0000 0.2500 1
Nb2 Nb 0.0127 0.5064 0.2500 1
Fe1 Fe 0.0000 0.0000 0.0000 1
S1 S 0.1642 0.3284 0.6152 1
S2 S 0.3333 0.6667 0.1119 1
# Crystal system = hexagonal
# Formation energy from raw total energies = -13.340 eV/f.u.
# E above lowest polymorph = 0.0 meV per atom
# Magnetization = 0.00 μB/f.u.